Entry 1:
Material: Ba2NdAl2Sb4
Method: DFT, GGA-PBE
State: optimized geometry

a = 4.7299 Å, b = 8.1037 Å, c = 8.6197 Å
α = 108.61°, β = 105.92°, γ = 90.00°
With the nearest neighbours (Å) after each atom.
Atoms (fractional coordinates):
Sb 0.4825 0.2577 0.9650  1 Al 2.71
Sb 0.7919 0.8113 0.5838  3 Al 2.79-2.83
Sb 0.2081 0.1887 0.4162  3 Al 2.79-2.83
Ba 0.1305 0.5682 0.2610  7 Sb 3.58-3.72, 1 Al 3.93
Al 0.3264 0.0051 0.6528  4 Sb 2.71-2.83
Al 0.6736 0.9949 0.3472  4 Sb 2.71-2.83
Nd 0.0000 0.0000 0.0000  6 Sb 3.23-3.28
Ba 0.8695 0.4318 0.7390  7 Sb 3.58-3.72, 1 Al 3.93
Sb 0.5175 0.7423 0.0350  1 Al 2.71

ρ	5.3	Mg/m³
total moment	0.00	μB per formula unit
E_form (uncorrected)	-0.73	eV per atom
symmetry	No. 12

---

Entry 2:
Material: Ba2NdAlSe5
Method: DFT, GGA-PBE
State: optimized geometry

a = 4.2816 Å, b = 9.8115 Å, c = 13.6686 Å
α = 90.00°, β = 90.00°, γ = 102.60°
With the nearest neighbours (Å) after each atom.
Atoms (fractional coordinates):
Se 0.5014 0.0028 0.2707  1 Al 2.36
Ba 0.1196 0.2392 0.6867  7 Se 3.26-3.56
Al 0.4422 0.8844 0.4218  4 Se 2.36-2.54
Se 0.7016 0.4031 0.1757  2 Nd 2.91
Se 0.9616 0.9232 0.5175  2 Al 2.54
Se 0.6812 0.3625 0.8756  1 Al 2.45
Se 0.4986 0.9972 0.7707  1 Al 2.36
Nd 0.2021 0.4043 0.0312  6 Se 2.86-3.14
Ba 0.8804 0.7608 0.1867  7 Se 3.26-3.56
Nd 0.7979 0.5957 0.5312  6 Se 2.86-3.14
Se 0.6494 0.2988 0.5113  1 Nd 2.86
Se 0.0384 0.0768 0.0175  2 Al 2.54
Ba 0.8756 0.7511 0.8335  6 Se 3.27-3.38
Ba 0.1244 0.2489 0.3335  6 Se 3.27-3.38
Al 0.5578 0.1156 0.9218  4 Se 2.36-2.54
Se 0.2984 0.5969 0.6757  2 Nd 2.91
Se 0.3506 0.7012 0.0113  1 Nd 2.86
Se 0.3188 0.6375 0.3756  1 Al 2.45

ρ	5.0	Mg/m³
total moment	0.00	μB per formula unit
E_form (uncorrected)	-1.72	eV per atom
symmetry	No. 36

---

Copy entry 2 word for word.
Material: Ba2NdAlSe5
Method: DFT, GGA-PBE
State: optimized geometry

a = 4.2816 Å, b = 9.8115 Å, c = 13.6686 Å
α = 90.00°, β = 90.00°, γ = 102.60°
With the nearest neighbours (Å) after each atom.
Atoms (fractional coordinates):
Se 0.5014 0.0028 0.2707  1 Al 2.36
Ba 0.1196 0.2392 0.6867  7 Se 3.26-3.56
Al 0.4422 0.8844 0.4218  4 Se 2.36-2.54
Se 0.7016 0.4031 0.1757  2 Nd 2.91
Se 0.9616 0.9232 0.5175  2 Al 2.54
Se 0.6812 0.3625 0.8756  1 Al 2.45
Se 0.4986 0.9972 0.7707  1 Al 2.36
Nd 0.2021 0.4043 0.0312  6 Se 2.86-3.14
Ba 0.8804 0.7608 0.1867  7 Se 3.26-3.56
Nd 0.7979 0.5957 0.5312  6 Se 2.86-3.14
Se 0.6494 0.2988 0.5113  1 Nd 2.86
Se 0.0384 0.0768 0.0175  2 Al 2.54
Ba 0.8756 0.7511 0.8335  6 Se 3.27-3.38
Ba 0.1244 0.2489 0.3335  6 Se 3.27-3.38
Al 0.5578 0.1156 0.9218  4 Se 2.36-2.54
Se 0.2984 0.5969 0.6757  2 Nd 2.91
Se 0.3506 0.7012 0.0113  1 Nd 2.86
Se 0.3188 0.6375 0.3756  1 Al 2.45

ρ	5.0	Mg/m³
total moment	0.00	μB per formula unit
E_form (uncorrected)	-1.72	eV per atom
symmetry	No. 36

---

- Number 1 is which compound?
  Ba2NdAl2Sb4

---

- Which value of E_form (uncorrected) does entry 2 give?
  -1.72 eV per atom